VASP calculation (PBE with a Hubbard U) on crystalline Li4Nb2Fe3Co3O16 at its relaxed geometry.

```
Li4Nb2Fe3Co3O16
1.0
5.845 0.023 -0.014
2.931 5.057 -0.014
0.163 0.094 9.529
O Co Fe Li Nb
16 3 3 4 2
direct
0.834 0.331 0.401 O
0.481 0.481 0.162 O
0.507 0.964 0.658 O
0.519 0.519 0.668 O
0.663 0.663 0.890 O
0.330 0.330 0.386 O
0.836 0.836 0.409 O
0.036 0.478 0.164 O
0.964 0.507 0.658 O
0.006 0.006 0.694 O
0.671 0.173 0.908 O
0.173 0.671 0.908 O
0.002 0.002 0.194 O
0.331 0.834 0.401 O
0.478 0.036 0.164 O
0.167 0.167 0.899 O
0.831 0.341 0.785 Co
0.341 0.831 0.785 Co
0.169 0.169 0.284 Co
0.830 0.830 0.781 Fe
0.170 0.659 0.284 Fe
0.659 0.170 0.284 Fe
0.331 0.331 0.599 Li
0.005 0.005 0.007 Li
0.663 0.663 0.101 Li
0.006 0.006 0.506 Li
0.664 0.664 0.504 Nb
0.331 0.331 0.006 Nb
```

E_tot, eV per atom: -6.62
Magnetization, Bohr magnetons per cell: 7.0